The following is a PBE calculation of a relaxed structure of K2Tl3Hg6, from Alexandria.

Output
Total magnetization, μB/atom: 0.00
DFT formation energy, meV per atom: -91

The structure in CIF format:
```
data_K2Tl3Hg6
_chemical_formula_sum 'K4 Tl6 Hg12'
_symmetry_space_group_name_H-M 'C m m m'
_symmetry_Int_Tables_number 65
_symmetry_space_group_name_Hall '-C 2 2'
_cell_length_a 12.1260
_cell_length_b 13.5537
_cell_length_c 4.6546
_cell_angle_alpha 90.00
_cell_angle_beta 90.00
_cell_angle_gamma 90.00
loop_
_atom_site_label
_atom_site_type_symbol
_atom_site_fract_x
_atom_site_fract_y
_atom_site_fract_z
K1 K 0.0000 0.1965 0.0000
Tl1 Tl 0.0000 0.5000 0.5000
Tl2 Tl 0.2024 0.5000 0.0000
Hg1 Hg 0.1205 0.0000 0.5000
Hg2 Hg 0.1765 0.3331 0.5000
```